Record 1
# K2LaSb2O6

A relaxed K2LaSb2O6 crystal (PBE-GGA, Alexandria).

Summary:
DFT total energy (eV/atom): -5.95
Formation energy from raw total energies (eV/f.u.): -20.33
Magnetization (Bohr magnetons per cell): 1.00

a = 6.040 Å, b = 6.040 Å, c = 7.531 Å
α = 112.04°, β = 112.04°, γ = 64.66°
Element x y z (fractional)
K1 0.200 0.200 0.146
K2 0.800 0.800 0.854
La1 0.000 0.000 0.500
Sb1 0.434 0.434 0.767
Sb2 0.566 0.566 0.233
O1 0.214 0.691 0.244
O2 0.248 0.248 0.533
O3 0.309 0.786 0.756
O4 0.691 0.214 0.244
O5 0.752 0.752 0.467
O6 0.786 0.309 0.756



Record 2
# LiTlHg

A relaxed LiTlHg crystal (PBE-GGA, Alexandria).

Summary:
DFT total energy (eV/atom): -1.63
Magnetization (Bohr magnetons per cell): 0.00
ΔE_f (eV/atom): -0.105
Excess energy over the best structure of this formula in the dataset (kcal/mol of atoms): 1.89

a = 4.687 Å, b = 4.687 Å, c = 4.687 Å
α = 60.00°, β = 60.00°, γ = 60.00°
Element x y z (fractional)
Li1 0.000 0.000 0.000
Tl1 0.250 0.250 0.250
Hg1 0.750 0.750 0.750



Record 3
# TcIrW2

A relaxed TcIrW2 crystal (PBE-GGA, Alexandria).

Summary:
DFT total energy (eV/atom): -11.05
Magnetization (Bohr magnetons per cell): 1.25
ΔE_f (eV/atom): 0.232
Excess energy over the best structure of this formula in the dataset (kcal/mol of atoms): 6.96

a = 4.448 Å, b = 4.448 Å, c = 4.448 Å
α = 60.00°, β = 60.00°, γ = 60.00°
Element x y z (fractional)
Tc1 0.000 0.000 0.000
Ir1 0.750 0.750 0.750
W1 0.250 0.250 0.250
W2 0.500 0.500 0.500